# 1
Co2AgOs | GGA-PBEsol | relaxed

Lattice parameters (Å, degrees): 2.6203 2.6203 7.4593 90.00 90.00 90.00
Fractional positions:
Co  0.0000  0.0000  0.0293
Co  0.5000  0.5000  0.2395
Os  0.0000  0.0000  0.4677
Ag  0.5000  0.5000  0.7635

**E_form**: 0.40 eV/atom
**Fermi-level density of states**: 4.8 states/eV/f.u.
**Excess energy over the best structure of this formula in the dataset**: 37 meV per atom
**Uncorrected energy**: -7.35 eV per atom



# 2
Zn2Cu2Ag | GGA-PBEsol | relaxed

Lattice parameters (Å, degrees): 2.7448 6.9949 6.9949 90.00 90.00 90.00
Fractional positions:
Zn  0.0000  0.3664  0.8664
Zn  0.0000  0.8664  0.6336
Zn  0.0000  0.6336  0.1336
Zn  0.0000  0.1336  0.3664
Cu  0.5000  0.1630  0.6630
Cu  0.5000  0.6630  0.8370
Cu  0.5000  0.8370  0.3370
Cu  0.5000  0.3370  0.1630
Ag  0.0000  0.0000  0.0000
Ag  0.0000  0.5000  0.5000

**E_form**: -0.02 eV/atom
**Fermi-level density of states**: 1.4 states/eV/f.u.
**Uncorrected energy**: -3.05 eV per atom



# 3
ScAg2 | GGA-PBEsol | relaxed

Lattice parameters (Å, degrees): 3.5447 3.5447 9.7883 100.43 100.43 90.00
Fractional positions:
Ag  0.6772  0.1772  0.3545
Ag  0.8228  0.3228  0.6455
Ag  0.4272  0.4272  0.8545
Ag  0.5728  0.5728  0.1455
Sc  0.0000  0.0000  0.0000
Sc  0.2500  0.7500  0.5000

**E_form**: -0.07 eV/atom
**Fermi-level density of states**: 1.3 states/eV/f.u.
**Excess energy over the best structure of this formula in the dataset**: 265 meV per atom
**Uncorrected energy**: -4.48 eV per atom



# 4
La4YMg | GGA-PBEsol | relaxed

Lattice parameters (Å, degrees): 6.5714 6.5714 6.5714 60.00 60.00 60.00
Fractional positions:
La  0.3759  0.3759  0.3759
La  0.3759  0.3759  0.8724
La  0.8724  0.3759  0.3759
La  0.3759  0.8724  0.3759
Mg  0.7500  0.7500  0.7500
Y  0.0000  0.0000  0.0000

**E_form**: 0.25 eV/atom
**Fermi-level density of states**: 9.5 states/eV/f.u.
**Uncorrected energy**: -4.74 eV per atom